The following is a DFT calculation (GGA-PBE) of a geometry-optimized Ag4MoSe structure.

Summary:
Calculated volume = 19.681 A^3/atom
Formation energy from raw total energies = 581 meV/atom
SG = F-43m (216)
Fermi-level density of states = 0.126 states/eV per atom

Lattice parameters (Å, degrees): 5.5069 5.5069 5.5069 60.00 60.00 60.00
Closest atoms and distances in Å follow each position.
Fractional positions:
Ag1 0.8739 0.3754 0.3754  6 Ag 2.75-2.76
Ag2 0.3754 0.3754 0.8739  6 Ag 2.75-2.76
Ag3 0.3754 0.8739 0.3754  6 Ag 2.75-2.76
Ag4 0.3754 0.3754 0.3754  6 Ag 2.75-2.76
Mo1 0.7500 0.7500 0.7500  12 Ag 3.23, 4 Se 3.37
Se1 0.0000 0.0000 0.0000  12 Ag 3.23, 4 Mo 3.37